# AgTe2As

A geometry-optimized AgTe2As structure (GGA-PBE, Alexandria).

Unit cell a=8.7553 b=8.7553 c=8.7553 alpha=153.85 beta=153.85 gamma=37.32
With the nearest neighbours (Å) after each atom.
Fractional positions:
Ag (0.0000, 0.0000, 0.0000)  4 Te 2.80
Te (0.5000, 0.5000, 0.0000)  4 Ag 2.80
Te (0.7500, 0.2500, 0.5000)  4 As 2.80
As (0.2500, 0.7500, 0.5000)  4 Te 2.80

Computed properties:
Crystal system   tetragonal
Formation energy (no corrections)   0.323 eV per atom